A relaxed structure of CeHo2In, computed with GGA-PBE.

abc: 3.5070 3.5070 32.9432
angles: 90.00 90.00 120.00
Space group R3m (No. 160, hexagonal axes)
Asymmetric unit:
Ce: 0.0000 0.0000 0.0000
Ho: 0.0000 0.0000 0.5788
Ho: 0.0000 0.0000 0.7549
In: 0.0000 0.0000 0.1667

Properties
Calculated volume   350.9 Å³ per cell
Mass density   8.30 g/cm3
Fermi-level density of states   21.73 states/eV/cell
Formation energy from the elements   -95 meV per atom